Record 1
Density functional theory data (PBEsol) for Fe2O3 after structural relaxation.

a b c (Å): 4.6953 4.6953 13.2042
angles (deg): 90.00 90.00 120.00
Space group R-3c (No. 167, hexagonal axes)
Symmetry-distinct sites (fractional):
Fe 0.0000 0.0000 0.1544 [12 per cell]
O 0.0000 0.3141 0.2500 [18 per cell]

The value obtained for the formation energy from raw total energies is -1.252 eV per atom.

***

Record 2
Density functional theory data (PBEsol) for NbAuI2N after structural relaxation.

a b c (Å): 5.5627 5.5627 3.8764
angles (deg): 90.00 90.00 90.00
Space group P4/mmm (No. 123)
Symmetry-distinct sites (fractional):
Nb 0.0000 0.0000 0.0000 [1 per cell]
Au 0.5000 0.5000 0.5000 [1 per cell]
I 0.0000 0.5000 0.0000 [2 per cell]
N 0.0000 0.0000 0.5000 [1 per cell]

Its distance to the lowest polymorph of the same formula is 0.000 eV per atom. The value obtained for the formation energy from raw total energies is 0.308 eV per atom.

***

Record 3
Density functional theory data (PBEsol) for TiAs after structural relaxation.

a b c (Å): 3.5456 3.5456 6.2659
angles (deg): 90.00 90.00 120.00
Space group P6_3/mmc (No. 194)
Symmetry-distinct sites (fractional):
Ti 0.3333 0.6667 0.2500 [2 per cell]
As 0.0000 0.0000 0.0000 [2 per cell]

For the formation energy, the calculation gives -0.7338 eV per atom.

***

Record 4
Density functional theory data (PBEsol) for CdGaTe2N after structural relaxation.

a b c (Å): 5.7535 5.7535 3.4712
angles (deg): 90.00 90.00 90.00
Space group P4/mmm (No. 123)
Symmetry-distinct sites (fractional):
Cd 0.0000 0.0000 0.0000 [1 per cell]
Ga 0.5000 0.5000 0.5000 [1 per cell]
Te 0.0000 0.5000 0.5000 [2 per cell]
N 0.5000 0.5000 0.0000 [1 per cell]

The value obtained for the formation energy from raw total energies is 0.482 eV per atom.

***

Record 5
Density functional theory data (PBEsol) for AlIrSe2 after structural relaxation.

a b c (Å): 2.9344 4.3386 11.3066
angles (deg): 90.00 90.00 90.00
Space group Imm2 (No. 44)
Symmetry-distinct sites (fractional):
Al 0.0000 0.0000 0.0000 [2 per cell]
Ir 0.0000 0.5000 0.6874 [2 per cell]
Se 0.0000 0.0000 0.3818 [2 per cell]
Se 0.0000 0.5000 0.1604 [2 per cell]

The value obtained for the formation energy from raw total energies is 0.027 eV per atom.

***

Record 6
Density functional theory data (PBEsol) for BaCa2Tl2 after structural relaxation.

a b c (Å): 9.0705 9.0705 4.1016
angles (deg): 90.00 90.00 90.00
Space group P4/mbm (No. 127)
Symmetry-distinct sites (fractional):
Ba 0.0000 0.0000 0.0000 [2 per cell]
Ca 0.1631 0.3369 0.5000 [4 per cell]
Tl 0.1286 0.6286 0.0000 [4 per cell]

Its distance to the lowest polymorph of the same formula is 0.000 eV per atom. For the formation energy, the calculation gives -0.3467 eV per atom.